[1]
{"formula": "Sr2ZrNi", "functional": "PBE-GGA", "state": "optimized geometry", "lattice": [[-2.3199, 2.3199, 5.3124], [2.3199, -2.3199, 5.3124], [2.3199, 2.3199, -5.3124]], "species": ["Sr", "Sr", "Zr", "Ni"], "frac_coords": [[0.0000, 0.0000, 0.0000], [0.7500, 0.2500, 0.5000], [0.2500, 0.7500, 0.5000], [0.5000, 0.5000, 0.0000]], "ef_mev_per_atom": 733, "total_energy_ev_per_atom": -3.6900, "volume_a3_per_cell": 114.4}

***

[2]
{"formula": "Sm2Ho2ErTm", "functional": "PBE-GGA", "state": "optimized geometry", "lattice": [[6.9521, 0.0000, 0.0000], [0.0000, 5.6030, 0.0000], [0.0000, 0.0000, 9.6942]], "species": ["Sm", "Sm", "Sm", "Sm", "Ho", "Ho", "Ho", "Ho", "Er", "Er", "Tm", "Tm"], "frac_coords": [[0.0000, 0.0000, 0.0000], [0.2500, 0.5000, 0.1776], [0.5000, 0.0000, 0.0000], [0.7500, 0.5000, 0.8224], [0.2500, 0.0000, 0.3307], [0.2500, 0.5000, 0.8376], [0.7500, 0.0000, 0.6693], [0.7500, 0.5000, 0.1624], [0.2500, 0.0000, 0.6587], [0.7500, 0.0000, 0.3413], [0.0000, 0.5000, 0.5000], [0.5000, 0.5000, 0.5000]], "ef_mev_per_atom": 69, "total_energy_ev_per_atom": -4.5355, "volume_a3_per_cell": 377.6}

***

[3]
{"formula": "AcGdAlAg", "functional": "PBE-GGA", "state": "optimized geometry", "lattice": [[0.0000, 3.8342, 3.8342], [3.8342, 0.0000, 3.8342], [3.8342, 3.8342, 0.0000]], "species": ["Ac", "Gd", "Al", "Ag"], "frac_coords": [[0.0000, 0.0000, 0.0000], [0.5000, 0.5000, 0.5000], [0.7500, 0.7500, 0.7500], [0.2500, 0.2500, 0.2500]], "ef_mev_per_atom": -249, "total_energy_ev_per_atom": -6.4446, "volume_a3_per_cell": 112.7}

***

[4]
{"formula": "Ti4Co5Ni", "functional": "PBE-GGA", "state": "optimized geometry", "lattice": [[3.0235, 0.0000, 0.0000], [0.0000, 3.0235, 0.0000], [0.0000, 0.0000, 13.8262]], "species": ["Ti", "Ti", "Ti", "Ti", "Co", "Co", "Co", "Co", "Co", "Ni"], "frac_coords": [[0.0000, 0.0000, 0.1053], [0.0000, 0.0000, 0.3171], [0.0000, 0.0000, 0.6829], [0.0000, 0.0000, 0.8947], [0.5000, 0.5000, 0.0000], [0.5000, 0.5000, 0.2057], [0.5000, 0.5000, 0.4081], [0.5000, 0.5000, 0.5919], [0.5000, 0.5000, 0.7943], [0.0000, 0.0000, 0.5000]], "ef_mev_per_atom": -302, "total_energy_ev_per_atom": -7.5908, "volume_a3_per_cell": 126.4}

***

[5]
{"formula": "NaLi2CaP", "functional": "PBE-GGA", "state": "optimized geometry", "lattice": [[4.9649, 0.0000, 0.0000], [0.0000, 4.9649, 0.0000], [0.0000, 0.0000, 5.5311]], "species": ["Na", "Li", "Li", "Ca", "P"], "frac_coords": [[0.0000, 0.0000, 0.0000], [0.0000, 0.5000, 0.5000], [0.5000, 0.0000, 0.5000], [0.5000, 0.5000, 0.0000], [0.5000, 0.5000, 0.5000]], "ef_mev_per_atom": -379, "total_energy_ev_per_atom": -2.8909, "volume_a3_per_cell": 136.3}

***

[6]
{"formula": "SmScZnRu", "functional": "PBE-GGA", "state": "optimized geometry", "lattice": [[0.0000, 3.4191, 3.4191], [3.4191, 0.0000, 3.4191], [3.4191, 3.4191, 0.0000]], "species": ["Sm", "Sc", "Zn", "Ru"], "frac_coords": [[0.0000, 0.0000, 0.0000], [0.5000, 0.5000, 0.5000], [0.2500, 0.2500, 0.2500], [0.7500, 0.7500, 0.7500]], "ef_mev_per_atom": -320, "total_energy_ev_per_atom": -5.7204, "volume_a3_per_cell": 79.9}